Record 1
Entry from Alexandria via LeMat-Bulk: Th2GaNi5 after structural relaxation (PBE).

Computed properties:
The value obtained for the formation energy is -0.357 eV per atom. The value obtained for the total energy is -6.20 eV per atom. As for the symmetry: I4mm. The size of the total moment is 0.00 μB/f.u.

Unit cell a=5.781 b=5.781 c=5.781 alpha=119.08 beta=119.08 gamma=91.59
Positions (direct):
Th1 0.000 0.500 0.500
Th2 0.500 0.000 0.500
Ga1 0.231 0.231 0.000
Ni1 0.537 0.537 0.000
Ni2 0.546 0.546 0.579
Ni3 0.546 0.966 0.000
Ni4 0.966 0.546 0.000
Ni5 0.966 0.966 0.421

***

Record 2
Entry from Alexandria via LeMat-Bulk: Th2Ga3Ni2 after structural relaxation (PBE).

Computed properties:
The value obtained for the formation energy is -0.548 eV per atom. The value obtained for the total energy is -5.62 eV per atom. As for the symmetry: C2/m. The size of the total moment is 0.00 μB/f.u.

Unit cell a=5.532 b=5.532 c=6.997 alpha=114.68 beta=114.68 gamma=44.16
Positions (direct):
Th1 0.138 0.138 0.278
Th2 0.862 0.862 0.722
Ga1 0.364 0.364 0.065
Ga2 0.500 0.500 0.500
Ga3 0.636 0.636 0.935
Ni1 0.146 0.146 0.709
Ni2 0.854 0.854 0.291

***

Record 3
Entry from Alexandria via LeMat-Bulk: ThGa2Ni after structural relaxation (PBE).

Computed properties:
The value obtained for the formation energy is -0.630 eV per atom. The value obtained for the total energy is -5.44 eV per atom. As for the symmetry: Cmmm. The size of the total moment is 0.00 μB/f.u.

Unit cell a=8.987 b=8.987 c=4.174 alpha=90.00 beta=90.00 gamma=152.90
Positions (direct):
Th1 0.142 0.858 0.000
Th2 0.858 0.142 0.000
Ga1 0.000 0.000 0.500
Ga2 0.289 0.711 0.500
Ga3 0.500 0.500 0.000
Ga4 0.711 0.289 0.500
Ni1 0.426 0.574 0.500
Ni2 0.574 0.426 0.500

***

Record 4
Entry from Alexandria via LeMat-Bulk: ThGa3Ni2 after structural relaxation (PBE).

Computed properties:
The value obtained for the formation energy is -0.509 eV per atom. The value obtained for the total energy is -5.19 eV per atom. As for the symmetry: Cmcm. The size of the total moment is 0.00 μB/f.u.

Unit cell a=6.253 b=6.253 c=5.239 alpha=90.00 beta=90.00 gamma=78.44
Positions (direct):
Th1 0.158 0.842 0.750
Th2 0.842 0.158 0.250
Ga1 0.036 0.599 0.250
Ga2 0.401 0.964 0.250
Ga3 0.450 0.550 0.250
Ga4 0.550 0.450 0.750
Ga5 0.599 0.036 0.750
Ga6 0.964 0.401 0.750
Ni1 0.287 0.287 0.000
Ni2 0.287 0.287 0.500
Ni3 0.713 0.713 0.000
Ni4 0.713 0.713 0.500

***

Record 5
Entry from Alexandria via LeMat-Bulk: Th3GaNi4 after structural relaxation (PBE).

Computed properties:
The value obtained for the formation energy is -0.396 eV per atom. The value obtained for the total energy is -6.45 eV per atom. As for the symmetry: C2/m. The size of the total moment is 0.00 μB/f.u.

Unit cell a=7.826 b=7.826 c=6.083 alpha=112.80 beta=112.80 gamma=29.09
Positions (direct):
Th1 0.000 0.000 0.000
Th2 0.192 0.192 0.692
Th3 0.808 0.808 0.308
Ga1 0.500 0.500 0.500
Ni1 0.379 0.379 0.677
Ni2 0.380 0.380 0.082
Ni3 0.620 0.620 0.918
Ni4 0.621 0.621 0.323

***

Record 6
Entry from Alexandria via LeMat-Bulk: ThGa4Ni2 after structural relaxation (PBE).

Computed properties:
The value obtained for the polymorph energy (0 for the lowest one) is 0.0000 eV/atom. The value obtained for the formation energy is -0.528 eV per atom. The value obtained for the total energy is -4.97 eV per atom. As for the symmetry: Pnma. The size of the total moment is 0.00 μB/f.u.

Unit cell a=16.828 b=4.119 c=6.787 alpha=90.00 beta=90.00 gamma=90.00
Positions (direct):
Th1 0.121 0.250 0.016
Th2 0.379 0.750 0.516
Th3 0.621 0.250 0.484
Th4 0.879 0.750 0.984
Ga1 0.037 0.750 0.742
Ga2 0.091 0.250 0.504
Ga3 0.187 0.750 0.339
Ga4 0.201 0.750 0.728
Ga5 0.299 0.250 0.228
Ga6 0.313 0.250 0.839
Ga7 0.409 0.750 0.004
Ga8 0.463 0.250 0.242
Ga9 0.537 0.750 0.758
Ga10 0.591 0.250 0.996
Ga11 0.687 0.750 0.161
Ga12 0.701 0.750 0.772
Ga13 0.799 0.250 0.272
Ga14 0.813 0.250 0.661
Ga15 0.909 0.750 0.496
Ga16 0.963 0.250 0.258
Ni1 0.038 0.750 0.316
Ni2 0.233 0.250 0.542
Ni3 0.267 0.750 0.042
Ni4 0.462 0.250 0.816
Ni5 0.538 0.750 0.184
Ni6 0.733 0.250 0.958
Ni7 0.767 0.750 0.458
Ni8 0.962 0.250 0.684

***

Record 7
Entry from Alexandria via LeMat-Bulk: Th2Ga12Ni after structural relaxation (PBE).

Computed properties:
The value obtained for the formation energy is -0.369 eV per atom. The value obtained for the total energy is -4.17 eV per atom. As for the symmetry: P4/nbm. The size of the total moment is 0.00 μB/f.u.

Unit cell a=6.113 b=6.113 c=15.317 alpha=90.00 beta=90.00 gamma=90.00
Positions (direct):
Th1 0.250 0.750 0.243
Th2 0.250 0.750 0.757
Th3 0.750 0.250 0.243
Th4 0.750 0.250 0.757
Ga1 0.001 0.501 0.084
Ga2 0.001 0.999 0.916
Ga3 0.080 0.580 0.571
Ga4 0.080 0.920 0.429
Ga5 0.250 0.250 0.182
Ga6 0.250 0.250 0.341
Ga7 0.250 0.250 0.659
Ga8 0.250 0.250 0.818
Ga9 0.420 0.580 0.429
Ga10 0.420 0.920 0.571
Ga11 0.499 0.501 0.916
Ga12 0.499 0.999 0.084
Ga13 0.501 0.001 0.916
Ga14 0.501 0.499 0.084
Ga15 0.580 0.080 0.429
Ga16 0.580 0.420 0.571
Ga17 0.750 0.750 0.182
Ga18 0.750 0.750 0.341
Ga19 0.750 0.750 0.659
Ga20 0.750 0.750 0.818
Ga21 0.920 0.080 0.571
Ga22 0.920 0.420 0.429
Ga23 0.999 0.001 0.084
Ga24 0.999 0.499 0.916
Ni1 0.250 0.750 0.000
Ni2 0.750 0.250 0.000

***

Record 8
Entry from Alexandria via LeMat-Bulk: Th3Ga3Ni8 after structural relaxation (PBE).

Computed properties:
The value obtained for the formation energy is -0.448 eV per atom. The value obtained for the total energy is -5.99 eV per atom. As for the symmetry: Immm. The size of the total moment is 0.00 μB/f.u.

Unit cell a=7.879 b=7.879 c=7.879 alpha=149.35 beta=111.64 gamma=76.75
Positions (direct):
Th1 0.000 0.000 0.000
Th2 0.293 0.293 0.000
Th3 0.707 0.707 0.000
Ga1 0.273 0.500 0.773
Ga2 0.500 0.000 0.500
Ga3 0.727 0.500 0.227
Ni1 0.028 0.679 0.349
Ni2 0.166 0.883 0.283
Ni3 0.329 0.679 0.651
Ni4 0.400 0.117 0.283
Ni5 0.600 0.883 0.717
Ni6 0.671 0.321 0.349
Ni7 0.834 0.117 0.717
Ni8 0.972 0.321 0.651

***

Record 9
Entry from Alexandria via LeMat-Bulk: Th2Ga2Ni after structural relaxation (PBE).

Computed properties:
The value obtained for the formation energy is -0.525 eV per atom. The value obtained for the total energy is -5.86 eV per atom. As for the symmetry: C2/m. The size of the total moment is 0.00 μB/f.u.

Unit cell a=5.845 b=5.845 c=10.663 alpha=113.97 beta=113.97 gamma=42.33
Positions (direct):
Th1 0.001 0.001 0.168
Th2 0.194 0.194 0.616
Th3 0.806 0.806 0.384
Th4 0.999 0.999 0.832
Ga1 0.328 0.328 0.944
Ga2 0.480 0.480 0.614
Ga3 0.520 0.520 0.386
Ga4 0.672 0.672 0.056
Ni1 0.292 0.292 0.171
Ni2 0.708 0.708 0.829

***

Record 10
Entry from Alexandria via LeMat-Bulk: Th2GaNi9 after structural relaxation (PBE).

Computed properties:
The value obtained for the formation energy is -0.234 eV per atom. The value obtained for the total energy is -6.06 eV per atom. As for the symmetry: R-3m. The size of the total moment is 0.00 μB/f.u.

Unit cell a=8.756 b=8.756 c=8.756 alpha=32.71 beta=32.71 gamma=32.71
Positions (direct):
Th1 0.132 0.132 0.132
Th2 0.868 0.868 0.868
Ga1 0.000 0.000 0.000
Ni1 0.080 0.582 0.582
Ni2 0.333 0.333 0.333
Ni3 0.418 0.418 0.920
Ni4 0.418 0.920 0.418
Ni5 0.500 0.500 0.500
Ni6 0.582 0.080 0.582
Ni7 0.582 0.582 0.080
Ni8 0.667 0.667 0.667
Ni9 0.920 0.418 0.418

***

Record 11
Entry from Alexandria via LeMat-Bulk: ThGa2Ni5 after structural relaxation (PBE).

Computed properties:
The value obtained for the formation energy is -0.374 eV per atom. The value obtained for the total energy is -5.67 eV per atom. As for the symmetry: Immm. The size of the total moment is 0.00 μB/f.u.

Unit cell a=6.114 b=6.114 c=6.114 alpha=144.36 beta=115.05 gamma=76.34
Positions (direct):
Th1 0.000 0.000 0.000
Ga1 0.258 0.758 0.500
Ga2 0.742 0.242 0.500
Ni1 0.179 0.368 0.811
Ni2 0.443 0.632 0.811
Ni3 0.500 0.000 0.500
Ni4 0.557 0.368 0.189
Ni5 0.821 0.632 0.189

***

Record 12
Entry from Alexandria via LeMat-Bulk: ThGa4Ni15 after structural relaxation (PBE).

Computed properties:
The value obtained for the formation energy is -0.273 eV per atom. The value obtained for the total energy is -5.58 eV per atom. As for the symmetry: P4/mmm. The size of the total moment is 2.50 μB/f.u.

Unit cell a=3.727 b=3.727 c=17.672 alpha=90.00 beta=90.00 gamma=90.00
Positions (direct):
Th1 0.000 0.000 0.000
Ga1 0.000 0.000 0.214
Ga2 0.000 0.000 0.404
Ga3 0.000 0.000 0.596
Ga4 0.000 0.000 0.786
Ni1 0.000 0.500 0.117
Ni2 0.000 0.500 0.309
Ni3 0.000 0.500 0.500
Ni4 0.000 0.500 0.691
Ni5 0.000 0.500 0.883
Ni6 0.500 0.000 0.117
Ni7 0.500 0.000 0.309
Ni8 0.500 0.000 0.500
Ni9 0.500 0.000 0.691
Ni10 0.500 0.000 0.883
Ni11 0.500 0.500 0.000
Ni12 0.500 0.500 0.213
Ni13 0.500 0.500 0.405
Ni14 0.500 0.500 0.595
Ni15 0.500 0.500 0.787

***

Record 13
Entry from Alexandria via LeMat-Bulk: Th2GaNi6 after structural relaxation (PBE).

Computed properties:
The value obtained for the formation energy is -0.453 eV per atom. The value obtained for the total energy is -6.29 eV per atom. As for the symmetry: P-3m1. The size of the total moment is 0.00 μB/f.u.

Unit cell a=5.340 b=5.340 c=5.736 alpha=90.00 beta=90.00 gamma=120.00
Positions (direct):
Th1 0.333 0.667 0.306
Th2 0.667 0.333 0.694
Ga1 0.000 0.000 0.500
Ni1 0.173 0.346 0.828
Ni2 0.173 0.827 0.828
Ni3 0.346 0.173 0.172
Ni4 0.654 0.827 0.828
Ni5 0.827 0.173 0.172
Ni6 0.827 0.654 0.172

***

Record 14
Entry from Alexandria via LeMat-Bulk: ThGa2Ni4 after structural relaxation (PBE).

Computed properties:
The value obtained for the formation energy is -0.395 eV per atom. The value obtained for the total energy is -5.62 eV per atom. As for the symmetry: P4_2/mnm. The size of the total moment is 0.00 μB/f.u.

Unit cell a=7.364 b=7.364 c=3.877 alpha=90.00 beta=90.00 gamma=90.00
Positions (direct):
Th1 0.000 0.000 0.000
Th2 0.500 0.500 0.500
Ga1 0.219 0.219 0.500
Ga2 0.281 0.719 0.000
Ga3 0.719 0.281 0.000
Ga4 0.781 0.781 0.500
Ni1 0.090 0.647 0.500
Ni2 0.147 0.410 0.000
Ni3 0.353 0.910 0.500
Ni4 0.410 0.147 0.000
Ni5 0.590 0.853 0.000
Ni6 0.647 0.090 0.500
Ni7 0.853 0.590 0.000
Ni8 0.910 0.353 0.500

***

Record 15
Entry from Alexandria via LeMat-Bulk: ThGa6Ni6 after structural relaxation (PBE).

Computed properties:
The value obtained for the formation energy is -0.445 eV per atom. The value obtained for the total energy is -5.08 eV per atom. As for the symmetry: Immm. The size of the total moment is 0.00 μB/f.u.

Unit cell a=6.574 b=6.574 c=6.574 alpha=134.98 beta=100.33 gamma=96.54
Positions (direct):
Th1 0.000 0.000 0.000
Ga1 0.197 0.697 0.500
Ga2 0.348 0.000 0.348
Ga3 0.350 0.350 0.000
Ga4 0.650 0.650 0.000
Ga5 0.652 0.000 0.652
Ga6 0.803 0.303 0.500
Ni1 0.000 0.000 0.500
Ni2 0.000 0.500 0.000
Ni3 0.234 0.500 0.734
Ni4 0.500 0.000 0.000
Ni5 0.500 0.500 0.500
Ni6 0.766 0.500 0.266

***

Record 16
Entry from Alexandria via LeMat-Bulk: ThGa6Ni4 after structural relaxation (PBE).

Computed properties:
The value obtained for the formation energy is -0.466 eV per atom. The value obtained for the total energy is -4.89 eV per atom. As for the symmetry: P-6m2. The size of the total moment is 0.00 μB/f.u.

Unit cell a=6.990 b=6.990 c=3.968 alpha=90.00 beta=90.00 gamma=120.00
Positions (direct):
Th1 0.000 0.000 0.000
Ga1 0.200 0.399 0.500
Ga2 0.200 0.800 0.500
Ga3 0.534 0.069 0.000
Ga4 0.534 0.466 0.000
Ga5 0.601 0.800 0.500
Ga6 0.931 0.466 0.000
Ni1 0.333 0.667 0.000
Ni2 0.416 0.208 0.500
Ni3 0.792 0.208 0.500
Ni4 0.792 0.584 0.500

***

Record 17
Entry from Alexandria via LeMat-Bulk: ThGaNi6 after structural relaxation (PBE).

Computed properties:
The value obtained for the formation energy is -0.234 eV per atom. The value obtained for the total energy is -5.88 eV per atom. As for the symmetry: P-6m2. The size of the total moment is 0.00 μB/f.u.

Unit cell a=5.380 b=5.380 c=4.285 alpha=90.00 beta=90.00 gamma=120.00
Positions (direct):
Th1 0.000 0.000 0.000
Ga1 0.667 0.333 0.500
Ni1 0.004 0.502 0.000
Ni2 0.182 0.364 0.500
Ni3 0.182 0.818 0.500
Ni4 0.498 0.502 0.000
Ni5 0.498 0.996 0.000
Ni6 0.636 0.818 0.500

***

Record 18
Entry from Alexandria via LeMat-Bulk: ThGa2Ni after structural relaxation (PBE).

Computed properties:
The value obtained for the formation energy is -0.216 eV per atom. The value obtained for the total energy is -5.03 eV per atom. As for the symmetry: R-3m. The size of the total moment is 0.00 μB/f.u.

Unit cell a=4.662 b=4.662 c=4.662 alpha=64.22 beta=64.22 gamma=64.22
Positions (direct):
Th1 0.000 0.000 0.000
Ga1 0.268 0.268 0.268
Ga2 0.732 0.732 0.732
Ni1 0.500 0.500 0.500

***

Record 19
Entry from Alexandria via LeMat-Bulk: ThGa8Ni2 after structural relaxation (PBE).

Computed properties:
The value obtained for the formation energy is -0.021 eV per atom. The value obtained for the total energy is -3.95 eV per atom. As for the symmetry: P4/mmm. The size of the total moment is 0.00 μB/f.u.

Unit cell a=5.615 b=5.615 c=7.670 alpha=90.00 beta=90.00 gamma=90.00
Positions (direct):
Th1 0.000 0.000 0.000
Ga1 0.255 0.255 0.309
Ga2 0.255 0.255 0.691
Ga3 0.255 0.745 0.309
Ga4 0.255 0.745 0.691
Ga5 0.745 0.255 0.309
Ga6 0.745 0.255 0.691
Ga7 0.745 0.745 0.309
Ga8 0.745 0.745 0.691
Ni1 0.000 0.500 0.500
Ni2 0.500 0.000 0.500

***

Record 20
Entry from Alexandria via LeMat-Bulk: ThGa5Ni7 after structural relaxation (PBE).

Computed properties:
The value obtained for the formation energy is -0.330 eV per atom. The value obtained for the total energy is -5.18 eV per atom. As for the symmetry: Imm2. The size of the total moment is 0.00 μB/f.u.

Unit cell a=6.496 b=6.496 c=6.496 alpha=133.79 beta=96.31 gamma=101.42
Positions (direct):
Th1 0.000 0.000 0.000
Ga1 0.005 0.498 0.015
Ga2 0.005 0.990 0.507
Ga3 0.483 0.498 0.493
Ga4 0.483 0.990 0.985
Ga5 0.768 0.268 0.500
Ni1 0.214 0.490 0.724
Ni2 0.219 0.719 0.500
Ni3 0.348 0.997 0.351
Ni4 0.349 0.349 0.000
Ni5 0.646 0.997 0.649
Ni6 0.655 0.655 0.000
Ni7 0.766 0.490 0.276